Material: Sc2Al5Ni2Ru
Method: DFT, PBE
State: optimized geometry

```
Sc2Al5Ni2Ru
1.0
3.953 0.000 0.000
0.000 8.827 0.000
0.000 0.000 8.827
Sc Al Ni Ru
4 10 4 2
Cartesian
0.000 5.979 1.566
0.000 2.847 7.260
0.000 1.566 2.847
0.000 7.260 5.979
1.976 1.797 0.568
1.976 7.030 8.258
1.976 0.568 7.030
1.976 6.210 3.845
1.976 8.258 1.797
1.976 2.617 4.981
1.976 4.981 6.210
1.976 3.845 2.617
1.976 4.413 0.000
1.976 0.000 4.413
0.000 1.035 5.448
0.000 7.792 3.379
0.000 5.448 7.792
0.000 3.379 1.035
0.000 0.000 0.000
0.000 4.413 4.413
```

Fermi-level density of states in states/eV per atom: 0.6540
Electronic total energy in eV/atom: -5.79